The following is a PBE calculation of a relaxed Li2TaGeH crystal, from Alexandria via LeMat-Bulk.

Geometry as POSCAR:
```
Li2TaGeH
1.0
5.797 0.000 0.000
0.000 5.797 0.000
0.000 0.000 4.894
Li Ta Ge H
2 1 1 1
Direct
0.000 0.500 0.000
0.500 0.000 0.000
0.000 0.000 0.000
0.000 0.000 0.500
0.500 0.500 0.500
```

Output
space-group type	P4/mmm, No. 123
magnetic moment	1.78	μB per formula unit
V	164	Å³ per cell
uncorrected energy	-16.4	eV per cell
offset from the most stable computed form	1622	meV per atom